# GGA-PBE Li3PrAg, optimized geometry
# **Formation energy from the elements**: 0.074 eV per atom
# **Fermi-level density of states**: 9.4 states/eV/cell
# **Spin magnetization**: 0.91 μB/f.u.
# **Volume**: 225.1 Å³ per cell
data_Li3PrAg
_symmetry_space_group_name_H-M 'P 1'
_symmetry_Int_Tables_number 1
_cell_length_a 5.7861
_cell_length_b 6.7036
_cell_length_c 6.7023
_cell_angle_alpha 120.02
_cell_angle_beta 90.00
_cell_angle_gamma 90.00
loop_
_symmetry_equiv_pos_as_xyz
'x,y,z'
loop_
_atom_site_label
_atom_site_type_symbol
_atom_site_fract_x
_atom_site_fract_y
_atom_site_fract_z
Li1 Li 0.7501 0.6227 0.8114
Li2 Li 0.2499 0.8112 0.6226
Li3 Li 0.2499 0.3773 0.1886
Li4 Li 0.7501 0.1888 0.3774
Li5 Li 0.2499 0.8112 0.1885
Li6 Li 0.7501 0.1888 0.8115
Pr1 Pr 0.7499 0.6669 0.3335
Pr2 Pr 0.2501 0.3331 0.6665
Ag1 Ag 0.0000 0.0000 0.0000
Ag2 Ag 0.5000 0.0000 0.0000